Compound: Ni2HgOs
Source: Alexandria
Functional: PBE
Structure: relaxed

Cell lengths 2.7160, 2.7160, 9.0320 Å; angles 90.00, 90.00, 117.55 degrees
Sites, in units of the cell vectors:
Ni (0.0000, 0.0000, 0.0000)
Ni (0.5000, 0.5000, 0.2164)
Hg (0.5000, 0.5000, 0.7396)
Os (0.0000, 0.0000, 0.4434)

Properties
Space-group type = Cmm2 (35)
Calculated formation energy = 57.9 kJ/mol of atoms

---

Compound: Ni2HgOs
Source: Alexandria
Functional: PBE
Structure: relaxed

Cell lengths 4.8154, 4.8154, 4.8154 Å; angles 133.81, 133.81, 67.38 degrees
Sites, in units of the cell vectors:
Ni (0.0000, 0.0000, 0.0000)
Ni (0.7500, 0.2500, 0.5000)
Hg (0.5000, 0.5000, 0.0000)
Os (0.2500, 0.7500, 0.5000)

Properties
Space-group type = I-4m2 (119)
Calculated formation energy = 57.9 kJ/mol of atoms